{
  "formula": "MnNbHg2O6",
  "functional": "PBE with a Hubbard U",
  "state": "relaxed",
  "lattice": [[5.431, 0.000, 0.000], [-0.004, 5.574, 0.000], [-2.658, -2.645, 4.173]],
  "species": ["Mn", "Nb", "Hg", "Hg", "O", "O", "O", "O", "O", "O"],
  "fractional_positions": [[0.000, 0.000, 0.000], [0.500, 0.500, 0.000], [0.247, 0.763, 0.509], [0.753, 0.237, 0.491], [0.159, 0.234, 0.901], [0.231, 0.741, 0.895], [0.370, 0.263, 0.538], [0.630, 0.737, 0.462], [0.769, 0.259, 0.105], [0.841, 0.766, 0.099]],
  "space_group": "P-1 (2)",
  "volume_a3_per_cell": 126,
  "final_energy_ry_per_atom": -0.4488
}